Record 1
Computed, not measured: a geometry-optimized LiLaSiHg2 structure at the GGA-PBE level of DFT.

a b c (Å): 5.2193 4.6482 5.2193
angles (deg): 90.00 90.00 90.00
Atoms (fractional coordinates):
Si 0.0000 0.0000 0.0000
Li 0.0000 0.5000 0.0000
Hg 0.0000 0.0000 0.5000
Hg 0.5000 0.0000 0.0000
La 0.5000 0.5000 0.5000

Results
As for the uncorrected formation energy: -0.017 eV/atom. The volume comes out at 25.32 A^3/atom. For the magnetization, the calculation gives 0.000 μB per atom.

---

Record 2
Computed, not measured: a geometry-optimized LiLa2SmHg4 structure at the GGA-PBE level of DFT.

a b c (Å): 5.3372 5.3372 9.3885
angles (deg): 73.49 73.49 60.00
Atoms (fractional coordinates):
Li 0.5000 0.5000 0.5000
La 0.7547 0.7547 0.7359
La 0.2453 0.2453 0.2641
Sm 0.0000 0.0000 0.0000
Hg 0.3747 0.3747 0.8758
Hg 0.8746 0.8746 0.3762
Hg 0.1254 0.1254 0.6238
Hg 0.6253 0.6253 0.1242

Results
The value obtained for the formation enthalpy at 0 K is -0.46 eV per atom. The volume comes out at 27.35 A^3/atom. For the magnetization, the calculation gives 0.000 μB per atom.

---

Record 3
Computed, not measured: a geometry-optimized Li2LaSmHg2 structure at the GGA-PBE level of DFT.

a b c (Å): 4.9803 4.9803 6.8016
angles (deg): 90.00 90.00 120.00
Each line ends with the local moment (μB).
Atoms (fractional coordinates):
Li 0.3333 0.6667 0.7318  0.00
Li 0.6667 0.3333 0.2682  0.00
La 0.0000 0.0000 0.0000  0.05
Sm 0.0000 0.0000 0.5000  0.06
Hg 0.3333 0.6667 0.2668  0.00
Hg 0.6667 0.3333 0.7332  0.00

Results
The value obtained for the formation enthalpy at 0 K is -0.34 eV per atom. The volume comes out at 24.35 A^3/atom. For the magnetization, the calculation gives 0.034 μB per atom.

---

Record 4
Computed, not measured: a geometry-optimized LiLaSnHg2 structure at the GGA-PBE level of DFT.

a b c (Å): 4.9113 4.9113 5.1917
angles (deg): 90.00 90.00 90.00
Atoms (fractional coordinates):
Li 0.0000 0.0000 0.0000
Hg 0.0000 0.5000 0.0000
Hg 0.5000 0.0000 0.0000
Sn 0.0000 0.0000 0.5000
La 0.5000 0.5000 0.5000

Results
The value obtained for the formation enthalpy at 0 K is -0.35 eV per atom. The calculation puts the excess energy over the best structure of this formula in the dataset at 0.000 eV per atom. The volume comes out at 25.05 A^3/atom. For the magnetization, the calculation gives 0.000 μB per atom.

---

Record 5
Computed, not measured: a geometry-optimized LiLaSnHg2 structure at the GGA-PBE level of DFT.

a b c (Å): 5.8314 5.8597 5.8314
angles (deg): 90.00 90.00 90.00
Each line ends with the local moment (μB).
Atoms (fractional coordinates):
Li 0.0000 0.5000 0.0000  0.08
Hg 0.0000 0.0000 0.5000  0.00
Hg 0.5000 0.0000 0.0000  0.04
Sn 0.5000 0.5000 0.5000  -0.03
La 0.0000 0.0000 0.0000  0.32

Results
The value obtained for the formation enthalpy at 0 K is 0.70 eV per atom. The calculation puts the excess energy over the best structure of this formula in the dataset at 1.042 eV per atom. The volume comes out at 39.85 A^3/atom. For the magnetization, the calculation gives 0.174 μB per atom.

---

Record 6
Computed, not measured: a geometry-optimized SrLiLa2Hg4 structure at the GGA-PBE level of DFT.

a b c (Å): 5.4042 5.4042 9.4671
angles (deg): 73.42 73.42 60.00
Atoms (fractional coordinates):
Sr 0.0000 0.0000 0.0000
Li 0.5000 0.5000 0.5000
La 0.7550 0.7550 0.7352
La 0.2450 0.2450 0.2648
Hg 0.3831 0.3831 0.8506
Hg 0.8738 0.8738 0.3787
Hg 0.1262 0.1262 0.6213
Hg 0.6169 0.6169 0.1494

Results
The value obtained for the formation enthalpy at 0 K is -0.47 eV per atom. The volume comes out at 28.26 A^3/atom. For the magnetization, the calculation gives 0.000 μB per atom.

---

Record 7
Computed, not measured: a geometry-optimized Sr3Li2La2Hg4 structure at the GGA-PBE level of DFT.

a b c (Å): 5.2260 5.2260 15.1544
angles (deg): 90.00 90.00 120.00
Atoms (fractional coordinates):
Sr 0.0000 0.0000 0.7409
Sr 0.0000 0.0000 0.0000
Sr 0.0000 0.0000 0.2591
Li 0.6667 0.3333 0.8537
Li 0.3333 0.6667 0.1463
La 0.6667 0.3333 0.4322
La 0.3333 0.6667 0.5678
Hg 0.6667 0.3333 0.1317
Hg 0.3333 0.6667 0.8683
Hg 0.6667 0.3333 0.6433
Hg 0.3333 0.6667 0.3567

Results
The value obtained for the formation enthalpy at 0 K is -0.28 eV per atom. The volume comes out at 32.58 A^3/atom. For the magnetization, the calculation gives 0.000 μB per atom.

---

Record 8
Computed, not measured: a geometry-optimized SrLi2LaHg2 structure at the GGA-PBE level of DFT.

a b c (Å): 4.9865 4.9865 7.6607
angles (deg): 90.00 90.00 120.00
Atoms (fractional coordinates):
Sr 0.0000 0.0000 0.5000
Li 0.3333 0.6667 0.7744
Li 0.6667 0.3333 0.2256
La 0.0000 0.0000 0.0000
Hg 0.3333 0.6667 0.2172
Hg 0.6667 0.3333 0.7828

Results
The value obtained for the formation enthalpy at 0 K is -0.34 eV per atom. The volume comes out at 27.49 A^3/atom. For the magnetization, the calculation gives 0.000 μB per atom.

---

Computed values of total energy (unit: eV for the cell shown) for the preceding records, in sequence: -13.0; -21.4; -16.1; -13.2; -8.0; -18.4; -23.0; -13.1.